Entry 1:
Below is a relaxed structure of Bi2OF2, with properties calculated at the PBE-GGA level.

The calculation puts the volume at 26.556 Å³/atom. Its crystal system is tetragonal. Its excess energy over the best structure of this formula in the dataset is 633.9 meV/atom. The density of states at the Fermi level is 2.9 states/eV/cell. The energy relative to the elements, uncorrected comes out at -847 meV per atom.

Cell and atoms, written as POSCAR:
```
Bi2OF2
1.0
-0.662 -3.297 -0.440
2.429 -0.785 2.233
-7.735 0.411 8.556
Bi F O
2 2 1
Cartesian
-5.402 -1.708 7.849
-0.567 -1.964 2.501
-3.998 -1.782 6.296
-1.970 -1.890 4.054
0.884 -2.041 0.897
```

Entry 2:
Below is a relaxed structure of Bi4O5F2, with properties calculated at the PBE-GGA level.

The calculation puts the volume at 18.747 Å³/atom. Its crystal system is triclinic. Its excess energy over the best structure of this formula in the dataset is 54.4 meV/atom. The density of states at the Fermi level is 0.0 states/eV/cell. The energy relative to the elements, uncorrected comes out at -1479 meV per atom.

Cell and atoms, written as POSCAR:
```
Bi4O5F2
1.0
-3.657 -4.340 -4.896
4.502 3.271 -2.071
0.035 -5.808 4.394
F Bi O
2 4 5
Cartesian
-2.790 -8.131 -1.331
3.671 1.253 -1.242
-1.209 -2.235 -4.079
2.089 -4.643 1.506
-0.529 -5.024 -2.043
1.409 -1.853 -0.530
-0.603 -2.712 -1.890
2.588 -2.602 1.239
-1.707 -4.276 -3.813
-1.811 -5.074 -0.251
1.483 -4.166 -0.684
```

Entry 3:
Below is a relaxed structure of Bi5O7F, with properties calculated at the PBE-GGA level.

The calculation puts the volume at 18.924 Å³/atom. Its crystal system is monoclinic. Its excess energy over the best structure of this formula in the dataset is 21.7 meV/atom. The density of states at the Fermi level is 0.0 states/eV/cell. The energy relative to the elements, uncorrected comes out at -1318 meV per atom.

Cell and atoms, written as POSCAR:
```
Bi5O7F
1.0
10.496 0.252 0.831
9.625 4.194 0.831
5.855 1.294 12.313
O Bi F
14 10 2
Cartesian
10.377 2.293 8.717
17.174 3.794 10.408
8.803 1.945 3.567
7.077 1.564 6.014
5.543 1.225 8.360
20.434 4.515 5.615
14.472 3.197 7.961
20.125 4.446 12.469
18.900 4.176 7.961
8.584 1.896 10.856
11.505 2.542 6.015
15.600 3.447 5.258
5.852 1.293 1.507
17.393 3.843 3.120
15.024 3.319 10.056
17.920 3.959 5.699
15.259 3.371 3.160
8.057 1.780 8.277
17.959 3.968 12.495
4.941 1.092 6.146
10.953 2.420 3.920
21.036 4.648 7.830
8.018 1.772 1.481
10.718 2.368 10.816
1.563 0.345 1.171
24.414 5.394 12.805
```

Entry 4:
Below is a relaxed structure of Bi6O5F8, with properties calculated at the PBE-GGA level.

The calculation puts the volume at 15.305 Å³/atom. Its crystal system is triclinic. Its excess energy over the best structure of this formula in the dataset is 13.4 meV/atom. The density of states at the Fermi level is 0.0 states/eV/cell. The energy relative to the elements, uncorrected comes out at -1951 meV per atom.

Cell and atoms, written as POSCAR:
```
Bi6O5F8
1.0
-3.376 2.008 -0.881
-0.879 -3.446 -4.690
-6.540 -7.751 6.914
Bi O F
6 5 8
Cartesian
-2.011 -2.689 -3.333
-4.352 -1.228 -0.025
-6.583 -3.743 2.343
-8.717 -6.278 4.736
-4.668 -5.466 -0.925
-6.487 -8.002 1.280
-3.907 -2.489 -4.746
-4.750 -4.158 3.916
-5.255 -1.947 2.008
-7.714 -9.989 1.455
-8.404 -7.773 0.010
-8.014 -5.923 2.381
-3.342 -4.736 -3.005
-2.657 -2.652 -0.610
-6.683 -5.292 0.074
-5.246 -3.165 -0.963
-3.540 -0.871 -2.403
-7.388 -8.402 3.809
-4.451 -4.839 1.386
```

Entry 5:
Below is a relaxed structure of Bi5O7F, with properties calculated at the PBE-GGA level.

The calculation puts the volume at 18.696 Å³/atom. Its crystal system is triclinic. Its excess energy over the best structure of this formula in the dataset is 0.0 meV/atom. The density of states at the Fermi level is 0.0 states/eV/cell. The energy relative to the elements, uncorrected comes out at -1340 meV per atom.

Cell and atoms, written as POSCAR:
```
Bi5O7F
1.0
4.161 0.503 0.211
-0.988 9.388 -0.711
0.134 -5.360 12.667
Bi F O
10 2 14
Cartesian
0.871 -0.880 6.688
2.794 0.044 10.620
2.436 5.410 5.479
0.391 2.698 11.028
0.546 2.089 4.352
0.153 5.328 8.417
0.513 4.487 1.547
2.762 2.441 7.815
3.155 -0.797 3.750
2.916 1.832 1.139
2.166 -4.198 11.522
1.141 8.728 0.645
0.592 1.304 6.602
3.140 -1.137 5.912
0.831 2.328 1.646
1.033 -0.555 4.408
2.715 3.227 5.565
0.275 3.191 8.802
3.026 0.164 8.514
3.032 1.340 3.365
2.275 5.086 7.759
2.476 2.202 10.521
2.747 4.066 1.032
0.560 0.465 11.135
0.281 4.367 3.653
0.167 5.668 6.255
```

Entry 6:
Below is a relaxed structure of BiOF, with properties calculated at the PBE-GGA level.

The calculation puts the volume at 15.989 Å³/atom. Its crystal system is orthorhombic. The density of states at the Fermi level is 0.0 states/eV/cell. The energy relative to the elements, uncorrected comes out at -1824 meV per atom.

Cell and atoms, written as POSCAR:
```
BiOF
1.0
7.089 0.266 -0.294
4.459 5.405 -0.006
2.630 0.804 5.083
O F Bi
4 4 4
Cartesian
6.021 0.680 1.248
8.156 1.842 -0.039
4.610 3.196 1.450
9.567 2.297 2.445
5.908 3.596 4.001
6.830 4.404 0.119
7.348 1.094 3.781
8.269 4.875 2.586
4.685 1.675 3.134
8.579 3.006 4.648
5.598 5.460 1.933
9.492 3.819 0.762
```

Number 1: spin magnetization 0.00 μB per cell. Number 2: spin magnetization 0.00 μB per cell. Number 3: spin magnetization 0.00 μB per cell. Number 4: spin magnetization 0.00 μB per cell. Number 5: spin magnetization 0.00 μB per cell. Number 6: spin magnetization 0.00 μB per cell.